BeCoRu2 after structural relaxation, computed with PBEsol.

Lattice parameters (Å, degrees): 2.7386 4.0637 4.0637 90.00 90.00 90.00
With the nearest neighbours (Å) after each atom.
Fractional coordinates of all 4 atoms:
Ru 0.0000 0.0000 0.5000  4 Be 2.45, 4 Co 2.45, 2 Ru 2.74
Ru 0.0000 0.5000 0.0000  4 Be 2.45, 4 Co 2.45, 2 Ru 2.74
Co 0.5000 0.0000 0.0000  8 Ru 2.45, 2 Co 2.74
Be 0.5000 0.5000 0.5000  8 Ru 2.45, 2 Be 2.74

Computed properties:
Space-group type = P4/mmm (123)
Mass density = 9.917 Mg/m³
DOS at the Fermi energy = 5.2 states/eV per cell
ΔH_f (0 K) = 0.086 eV/atom
V = 45.2 Å³/cell
Electronic total energy = -7.934 eV per atom